Material: Na12TlHg6
Method: DFT, PBE
State: relaxed

Geometry as CIF:
```
data_Na12TlHg6
_cell_length_a 9.068
_cell_length_b 9.068
_cell_length_c 9.068
_cell_angle_alpha 109.47
_cell_angle_beta 109.47
_cell_angle_gamma 109.47
_symmetry_space_group_name_H-M 'P 1'
_symmetry_Int_Tables_number 1
loop_
_symmetry_equiv_pos_as_xyz
'x,y,z'
loop_
_atom_site_label
_atom_site_type_symbol
_atom_site_fract_x
_atom_site_fract_y
_atom_site_fract_z
Na1 Na 0.275 0.096 0.821
Na2 Na 0.275 0.454 0.179
Na3 Na 0.725 0.546 0.821
Na4 Na 0.725 0.904 0.179
Na5 Na 0.096 0.821 0.275
Na6 Na 0.454 0.179 0.275
Na7 Na 0.546 0.821 0.725
Na8 Na 0.904 0.179 0.725
Na9 Na 0.821 0.275 0.096
Na10 Na 0.179 0.275 0.454
Na11 Na 0.821 0.725 0.546
Na12 Na 0.179 0.725 0.904
Tl1 Tl 0.000 0.000 0.000
Hg1 Hg 0.359 0.500 0.859
Hg2 Hg 0.641 0.500 0.141
Hg3 Hg 0.500 0.859 0.359
Hg4 Hg 0.500 0.141 0.641
Hg5 Hg 0.859 0.359 0.500
Hg6 Hg 0.141 0.641 0.500
```

## Properties
- volume (Å³ per cell) = 573.9
- energy relative to the lowest polymorph listed for this composition (meV per atom) = 12.8
- energy of formation from the pure elements (eV/atom) = -0.148